1.
Mn3Cu5I12 | PBE | optimized geometry

## Properties
* formation energy without anion corrections: -0.05 eV/atom
* crystal system: cubic

a b c (Å): 14.7259 14.7259 14.7259
angles (deg): 109.47 109.47 109.47
Fractional positions:
Mn  0.1250  0.2500  0.3750
Mn  0.1250  0.3750  0.7500
Mn  0.2500  0.3750  0.1250
Mn  0.2500  0.8750  0.6250
Mn  0.3750  0.1250  0.2500
Mn  0.3750  0.7500  0.1250
Mn  0.6250  0.2500  0.8750
Mn  0.6250  0.8750  0.7500
Mn  0.7500  0.1250  0.3750
Mn  0.7500  0.6250  0.8750
Mn  0.8750  0.6250  0.2500
Mn  0.8750  0.7500  0.6250
Cu  0.0000  0.0000  0.0000
Cu  0.0000  0.0000  0.5000
Cu  0.0000  0.5000  0.0000
Cu  0.0000  0.5000  0.5000
Cu  0.1250  0.7500  0.8750
Cu  0.1250  0.8750  0.2500
Cu  0.2500  0.1250  0.8750
Cu  0.2500  0.6250  0.3750
Cu  0.3750  0.2500  0.6250
Cu  0.3750  0.6250  0.7500
Cu  0.5000  0.0000  0.0000
Cu  0.5000  0.0000  0.5000
Cu  0.5000  0.5000  0.0000
Cu  0.5000  0.5000  0.5000
Cu  0.6250  0.3750  0.2500
Cu  0.6250  0.7500  0.3750
Cu  0.7500  0.3750  0.6250
Cu  0.7500  0.8750  0.1250
Cu  0.8750  0.1250  0.7500
Cu  0.8750  0.2500  0.1250
I  0.0337  0.2122  0.1276
I  0.0337  0.3215  0.9060
I  0.0846  0.7122  0.6785
I  0.0846  0.8724  0.4060
I  0.0940  0.6276  0.4154
I  0.0940  0.9663  0.6785
I  0.1276  0.0337  0.2122
I  0.1276  0.5940  0.9154
I  0.1785  0.2122  0.5846
I  0.1785  0.4663  0.5940
I  0.2122  0.1276  0.0337
I  0.2122  0.5846  0.1785
I  0.2878  0.3215  0.9154
I  0.2878  0.4663  0.3724
I  0.3215  0.9060  0.0337
I  0.3215  0.9154  0.2878
I  0.3724  0.2878  0.4663
I  0.3724  0.5846  0.9060
I  0.4060  0.0846  0.8724
I  0.4060  0.8215  0.5337
I  0.4154  0.0940  0.6276
I  0.4154  0.8215  0.7878
I  0.4663  0.3724  0.2878
I  0.4663  0.5940  0.1785
I  0.5337  0.4060  0.8215
I  0.5337  0.6276  0.7122
I  0.5846  0.1785  0.2122
I  0.5846  0.9060  0.3724
I  0.5940  0.1785  0.4663
I  0.5940  0.9154  0.1276
I  0.6276  0.4154  0.0940
I  0.6276  0.7122  0.5337
I  0.6785  0.0846  0.7122
I  0.6785  0.0940  0.9663
I  0.7122  0.5337  0.6276
I  0.7122  0.6785  0.0846
I  0.7878  0.4154  0.8215
I  0.7878  0.8724  0.9663
I  0.8215  0.5337  0.4060
I  0.8215  0.7878  0.4154
I  0.8724  0.4060  0.0846
I  0.8724  0.9663  0.7878
I  0.9060  0.0337  0.3215
I  0.9060  0.3724  0.5846
I  0.9154  0.1276  0.5940
I  0.9154  0.2878  0.3215
I  0.9663  0.6785  0.0940
I  0.9663  0.7878  0.8724

2.
La5Sm12Tm2 | PBE | optimized geometry

## Properties
* crystal system: monoclinic
* ΔH_f (0 K): 0.19 eV/atom

a b c (Å): 10.2160 10.2160 8.8788
angles (deg): 114.20 114.20 54.02
Fractional positions:
La  0.0000  0.0000  0.0000
La  0.2358  0.2358  0.7966
La  0.2897  0.2897  0.2777
La  0.7103  0.7103  0.7223
La  0.7642  0.7642  0.2034
Sm  0.0389  0.6695  0.5921
Sm  0.0457  0.0457  0.6854
Sm  0.1541  0.5940  0.0430
Sm  0.3305  0.9611  0.4079
Sm  0.4060  0.8459  0.9570
Sm  0.4382  0.4382  0.7775
Sm  0.5618  0.5618  0.2225
Sm  0.5940  0.1541  0.0430
Sm  0.6695  0.0389  0.5921
Sm  0.8459  0.4060  0.9570
Sm  0.9543  0.9543  0.3146
Sm  0.9611  0.3305  0.4079
Tm  0.3267  0.6733  0.5000
Tm  0.6733  0.3267  0.5000

3.
LaZr2TcC | PBE | optimized geometry

## Properties
* crystal system: tetragonal
* ΔH_f (0 K): 1.45 eV/atom

a b c (Å): 4.9697 4.9697 5.3195
angles (deg): 90.00 90.00 90.00
Fractional positions:
La  0.0000  0.0000  0.0000
Zr  0.0000  0.5000  0.5000
Zr  0.5000  0.0000  0.5000
Tc  0.0000  0.0000  0.5000
C  0.5000  0.5000  0.0000